(1)
Er3Lu4Te2Pt2 | PBE-GGA | relaxed

Size of the total moment   0.0 μB/cell
Space group   No. 44

abc: 9.248 9.248 9.248
angles: 155.52 67.20 118.51
Sites, in units of the cell vectors:
1 Er 0.001 0.001 0.000
2 Er 0.623 0.267 0.355
3 Er 0.912 0.267 0.645
4 Lu 0.549 0.417 0.132
5 Lu 0.944 0.627 0.317
6 Lu 0.310 0.627 0.683
7 Lu 0.285 0.417 0.868
8 Pt 0.169 0.931 0.238
9 Pt 0.694 0.931 0.762
10 Te 0.660 0.660 0.000
11 Te 0.266 0.766 0.500



(2)
DyRePb | PBE-GGA | relaxed

Size of the total moment   0.2 μB/cell
Space group   No. 216
Excess energy over the best structure of this formula in the dataset   0 meV per atom

abc: 4.748 4.748 4.748
angles: 60.00 60.00 60.00
Sites, in units of the cell vectors:
1 Dy 0.250 0.250 0.250
2 Pb 0.000 0.000 0.000
3 Re 0.750 0.750 0.750



(3)
LiZn2Au | PBE-GGA | relaxed

Space group   No. 194
Excess energy over the best structure of this formula in the dataset   219 meV per atom

abc: 4.285 4.285 8.059
angles: 90.00 90.00 120.00
Sites, in units of the cell vectors:
1 Au 0.000 0.000 0.250
2 Au 0.000 0.000 0.750
3 Li 0.667 0.333 0.250
4 Li 0.333 0.667 0.750
5 Zn 0.333 0.667 0.082
6 Zn 0.333 0.667 0.418
7 Zn 0.667 0.333 0.582
8 Zn 0.667 0.333 0.918



Energy readings, ordered: -0.411 -0.446 -0.153 Ry per atom